(1)
A relaxed Be2CrOs2 crystal. Source: Alexandria via LeMat-Bulk, functional PBEsol.

The size of the total moment comes out at 1.17 μB per formula unit. As for the total energy: -8.63 eV/atom.

It has space group P4/mbm (No. 127), with a = 6.0763 Å, b = 6.0763 Å, c = 2.9114 Å, α = 90.00°, β = 90.00° and γ = 90.00°. The distinct sites, in fractional coordinates, are Be at (0.1232, 0.3768, 0.0000), Cr at (0.0000, 0.0000, 0.0000) and Os at (0.1721, 0.6721, 0.5000).

(2)
A relaxed Be4CrOs crystal. Source: Alexandria via LeMat-Bulk, functional PBEsol.

The size of the total moment comes out at 0.01 μB per formula unit. As for the total energy: -6.74 eV/atom.

It has space group F-43m (No. 216), with a = 5.9903 Å, b = 5.9903 Å, c = 5.9903 Å, α = 90.00°, β = 90.00° and γ = 90.00°. The distinct sites, in fractional coordinates, are Be at (0.1244, 0.1244, 0.1244), Cr at (0.2500, 0.2500, 0.7500) and Os at (0.0000, 0.0000, 0.5000).

(3)
A relaxed BeCrOs2 crystal. Source: Alexandria via LeMat-Bulk, functional PBEsol.

The size of the total moment comes out at 0.00 μB per formula unit. As for the total energy: -9.26 eV/atom.

It has space group Cmm2 (No. 35), with a = 2.7656 Å, b = 4.3857 Å, c = 8.2332 Å, α = 90.00°, β = 90.00° and γ = 90.00°. The distinct sites, in fractional coordinates, are Be at (0.0000, 0.0000, 0.0000), Cr at (0.0000, 0.5000, 0.2288), Os at (0.0000, 0.0000, 0.4790) and Os at (0.0000, 0.5000, 0.7688).

(4)
A relaxed Be2CrOs crystal. Source: Alexandria via LeMat-Bulk, functional PBEsol.

The size of the total moment comes out at 0.00 μB per formula unit. Its excess energy over the best structure of this formula in the dataset is 269.9 meV per atom.

It has space group Cmm2 (No. 35), with a = 2.7740 Å, b = 4.2404 Å, c = 7.6387 Å, α = 90.00°, β = 90.00° and γ = 90.00°. The distinct sites, in fractional coordinates, are Be at (0.0000, 0.0000, 0.0000), Be at (0.0000, 0.5000, 0.2307), Cr at (0.0000, 0.0000, 0.4737) and Os at (0.0000, 0.5000, 0.7452).

(5)
A relaxed Be2CrOs crystal. Source: Alexandria via LeMat-Bulk, functional PBEsol.

The size of the total moment comes out at 1.91 μB per formula unit. Its excess energy over the best structure of this formula in the dataset is 63.8 meV per atom.

It has space group P4/mmm (No. 123), with a = 2.8696 Å, b = 2.8696 Å, c = 5.1122 Å, α = 90.00°, β = 90.00° and γ = 90.00°. The distinct sites, in fractional coordinates, are Be at (0.0000, 0.0000, 0.2419), Cr at (0.5000, 0.5000, 0.5000) and Os at (0.5000, 0.5000, 0.0000).

(6)
A relaxed BeCrOs2 crystal. Source: Alexandria via LeMat-Bulk, functional PBEsol.

The size of the total moment comes out at 0.00 μB per formula unit. As for the total energy: -9.76 eV/atom.

It has space group P4/mmm (No. 123), with a = 2.8200 Å, b = 2.8200 Å, c = 5.8803 Å, α = 90.00°, β = 90.00° and γ = 90.00°. The distinct sites, in fractional coordinates, are Be at (0.0000, 0.0000, 0.0000), Cr at (0.0000, 0.0000, 0.5000) and Os at (0.5000, 0.5000, 0.2343).

(7)
A relaxed BeCr2SnOs crystal. Source: Alexandria via LeMat-Bulk, functional PBEsol.

The size of the total moment comes out at 7.65 μB per formula unit. As for the total energy: -5.89 eV/atom.

It has space group P4/mmm (No. 123), with a = 4.8612 Å, b = 4.8612 Å, c = 4.8181 Å, α = 90.00°, β = 90.00° and γ = 90.00°. The distinct sites, in fractional coordinates, are Be at (0.0000, 0.0000, 0.0000), Cr at (0.0000, 0.5000, 0.5000), Sn at (0.5000, 0.5000, 0.5000) and Os at (0.5000, 0.5000, 0.0000).

(8)
A relaxed Be2CrP crystal. Source: Alexandria via LeMat-Bulk, functional PBEsol.

The size of the total moment comes out at 0.94 μB per formula unit. As for the total energy: -5.81 eV/atom.

It has space group F-43m (No. 216), with a = 5.3682 Å, b = 5.3682 Å, c = 5.3682 Å, α = 90.00°, β = 90.00° and γ = 90.00°. The distinct sites, in fractional coordinates, are Be at (0.0000, 0.0000, 0.0000), Be at (0.2500, 0.2500, 0.2500), Cr at (0.0000, 0.0000, 0.5000) and P at (0.2500, 0.2500, 0.7500).

(9)
A relaxed Be2CrP crystal. Source: Alexandria via LeMat-Bulk, functional PBEsol.

The size of the total moment comes out at 0.00 μB per formula unit. As for the total energy: -6.26 eV/atom.

It has space group I-4m2 (No. 119), with a = 3.2275 Å, b = 3.2275 Å, c = 7.1503 Å, α = 90.00°, β = 90.00° and γ = 90.00°. The distinct sites, in fractional coordinates, are Be at (0.0000, 0.0000, 0.0000), Be at (0.0000, 0.5000, 0.2500), Cr at (0.0000, 0.5000, 0.7500) and P at (0.0000, 0.0000, 0.5000).

(10)
A relaxed Be2CrP crystal. Source: Alexandria via LeMat-Bulk, functional PBEsol.

The size of the total moment comes out at 1.59 μB per formula unit. As for the total energy: -6.12 eV/atom.

It has space group P4/mmm (No. 123), with a = 3.4013 Å, b = 3.4013 Å, c = 3.3093 Å, α = 90.00°, β = 90.00° and γ = 90.00°. The distinct sites, in fractional coordinates, are Be at (0.0000, 0.5000, 0.0000), Cr at (0.0000, 0.0000, 0.5000) and P at (0.5000, 0.5000, 0.5000).

(11)
A relaxed Be2CrP crystal. Source: Alexandria via LeMat-Bulk, functional PBEsol.

The size of the total moment comes out at 0.00 μB per formula unit. As for the total energy: -6.15 eV/atom.

It has space group I4/mmm (No. 139), with a = 3.2173 Å, b = 3.2173 Å, c = 7.4150 Å, α = 90.00°, β = 90.00° and γ = 90.00°. The distinct sites, in fractional coordinates, are Be at (0.0000, 0.5000, 0.2500), Cr at (0.0000, 0.0000, 0.0000) and P at (0.0000, 0.0000, 0.5000).

(12)
A relaxed BeCrP2 crystal. Source: Alexandria via LeMat-Bulk, functional PBEsol.

The size of the total moment comes out at 2.05 μB per formula unit. As for the total energy: -6.34 eV/atom.

It has space group I-4m2 (No. 119), with a = 3.3905 Å, b = 3.3905 Å, c = 8.0207 Å, α = 90.00°, β = 90.00° and γ = 90.00°. The distinct sites, in fractional coordinates, are Be at (0.0000, 0.0000, 0.0000), Cr at (0.0000, 0.5000, 0.2500), P at (0.0000, 0.0000, 0.5000) and P at (0.0000, 0.5000, 0.7500).